# Pm2Cu2Si3, optimized geometry, DFT PBE
# ΔE_f (raw)   -0.64 eV per atom
# E   -5.489 eV per atom
# ΔE to the lowest computed polymorph   0.0 meV per atom
data_Pm2Cu2Si3
_space_group_name_H-M_alt 'P 1'
_space_group_IT_number 1
_cell_length_a 9.211
_cell_length_b 9.211
_cell_length_c 6.680
_cell_angle_alpha 90.00
_cell_angle_beta 90.00
_cell_angle_gamma 153.08
loop_
_space_group_symop_operation_xyz
'x,y,z'
loop_
_atom_site_label
_atom_site_type_symbol
_atom_site_fract_x
_atom_site_fract_y
_atom_site_fract_z
Pm1 Pm 0.052 0.948 0.750
Pm2 Pm 0.159 0.841 0.250
Pm3 Pm 0.841 0.159 0.750
Pm4 Pm 0.948 0.052 0.250
Cu1 Cu 0.313 0.687 0.063
Cu2 Cu 0.313 0.687 0.437
Cu3 Cu 0.687 0.313 0.563
Cu4 Cu 0.687 0.313 0.937
Si1 Si 0.222 0.778 0.750
Si2 Si 0.439 0.561 0.571
Si3 Si 0.439 0.561 0.929
Si4 Si 0.561 0.439 0.071
Si5 Si 0.561 0.439 0.429
Si6 Si 0.778 0.222 0.250